[1]
{
  "formula": "VAgHg2",
  "functional": "GGA-PBE",
  "state": "optimized geometry",
  "cell": [[1.502, 0.867, 10.643], [-1.502, 0.867, 10.643], [0.000, -1.735, 10.643]],
  "species": ["V", "Ag", "Hg", "Hg"],
  "frac_coords": [[0.000, 0.000, 0.000], [0.500, 0.500, 0.500], [0.087, 0.087, 0.087], [0.913, 0.913, 0.913]],
  "formation_energy_ev_per_atom": 0.558,
  "energy_ev_per_cell": -10.3
}

***

[2]
{
  "formula": "VAg3Hg",
  "functional": "GGA-PBE",
  "state": "optimized geometry",
  "cell": [[5.063, 0.000, 0.000], [0.000, 5.063, 0.000], [0.000, 0.000, 5.063]],
  "species": ["V", "Ag", "Ag", "Ag", "Hg"],
  "frac_coords": [[0.000, 0.000, 0.000], [0.000, 0.000, 0.500], [0.000, 0.500, 0.000], [0.500, 0.000, 0.000], [0.500, 0.500, 0.500]],
  "formation_energy_ev_per_atom": 1.092,
  "energy_ev_per_cell": -12.5
}

***

[3]
{
  "formula": "VAgHg",
  "functional": "GGA-PBE",
  "state": "optimized geometry",
  "cell": [[0.000, 3.635, 6.010], [2.697, 0.000, 6.010], [2.697, 3.635, 0.000]],
  "species": ["V", "V", "Ag", "Ag", "Hg", "Hg"],
  "frac_coords": [[0.128, 0.872, 0.128], [0.872, 0.128, 0.872], [0.250, 0.250, 0.250], [0.750, 0.750, 0.750], [0.387, 0.387, 0.613], [0.613, 0.613, 0.387]],
  "formation_energy_ev_per_atom": 0.537,
  "energy_ev_per_cell": -21.3
}

***

[4]
{
  "formula": "Ag2Hg2W",
  "functional": "GGA-PBE",
  "state": "optimized geometry",
  "cell": [[-1.865, 1.865, 7.491], [1.865, -1.865, 7.491], [1.865, 1.865, -7.491]],
  "species": ["Ag", "Ag", "Hg", "Hg", "W"],
  "frac_coords": [[0.250, 0.750, 0.500], [0.750, 0.250, 0.500], [0.098, 0.098, 0.000], [0.902, 0.902, 0.000], [0.500, 0.500, 0.000]],
  "formation_energy_ev_per_atom": 0.966,
  "energy_ev_per_cell": -14.4
}

***

[5]
{
  "formula": "AgHg2W2",
  "functional": "GGA-PBE",
  "state": "optimized geometry",
  "cell": [[8.423, 0.000, 0.000], [0.000, 8.423, 0.000], [0.000, 0.000, 2.853]],
  "species": ["Ag", "Ag", "Hg", "Hg", "Hg", "Hg", "W", "W", "W", "W"],
  "frac_coords": [[0.000, 0.000, 0.000], [0.500, 0.500, 0.000], [0.191, 0.309, 0.500], [0.309, 0.809, 0.500], [0.691, 0.191, 0.500], [0.809, 0.691, 0.500], [0.104, 0.604, 0.000], [0.396, 0.104, 0.000], [0.604, 0.896, 0.000], [0.896, 0.396, 0.000]],
  "formation_energy_ev_per_atom": 0.947,
  "energy_ev_per_cell": -49.3
}

***

[6]
{
  "formula": "AgHg2W",
  "functional": "GGA-PBE",
  "state": "optimized geometry",
  "cell": [[-2.064, 2.064, 9.939], [2.064, -2.064, 9.939], [2.064, 2.064, -9.939]],
  "species": ["Ag", "Ag", "Hg", "Hg", "Hg", "Hg", "W", "W"],
  "frac_coords": [[0.000, 0.000, 0.000], [0.750, 0.250, 0.500], [0.129, 0.625, 0.004], [0.375, 0.379, 0.504], [0.621, 0.125, 0.996], [0.875, 0.871, 0.496], [0.250, 0.750, 0.500], [0.500, 0.500, 0.000]],
  "formation_energy_ev_per_atom": 1.104,
  "energy_ev_per_cell": -24.0
}

***

[7]
{
  "formula": "AgHg2W",
  "functional": "GGA-PBE",
  "state": "optimized geometry",
  "cell": [[4.776, -1.451, 0.000], [4.776, 1.451, 0.000], [-0.853, 0.000, 5.552]],
  "species": ["Ag", "Hg", "Hg", "W"],
  "frac_coords": [[0.000, 0.000, 0.000], [0.248, 0.248, 0.744], [0.752, 0.752, 0.256], [0.500, 0.500, 0.500]],
  "formation_energy_ev_per_atom": 0.736,
  "energy_ev_per_cell": -13.5
}

***

[8]
{
  "formula": "Ag2Hg2W",
  "functional": "GGA-PBE",
  "state": "optimized geometry",
  "cell": [[8.198, 0.000, 0.000], [0.000, 8.198, 0.000], [0.000, 0.000, 2.905]],
  "species": ["Ag", "Ag", "Ag", "Ag", "Hg", "Hg", "Hg", "Hg", "W", "W"],
  "frac_coords": [[0.133, 0.367, 0.000], [0.367, 0.867, 0.000], [0.633, 0.133, 0.000], [0.867, 0.633, 0.000], [0.167, 0.667, 0.500], [0.333, 0.167, 0.500], [0.667, 0.833, 0.500], [0.833, 0.333, 0.500], [0.000, 0.000, 0.500], [0.500, 0.500, 0.500]],
  "formation_energy_ev_per_atom": 0.813,
  "energy_ev_per_cell": -30.4
}

***

[9]
{
  "formula": "AgHg2W",
  "functional": "GGA-PBE",
  "state": "optimized geometry",
  "cell": [[2.869, 0.000, 0.000], [0.000, 2.869, 0.000], [0.000, 0.000, 9.366]],
  "species": ["Ag", "Hg", "Hg", "W"],
  "frac_coords": [[0.000, 0.000, 0.000], [0.000, 0.000, 0.536], [0.500, 0.500, 0.251], [0.500, 0.500, 0.775]],
  "formation_energy_ev_per_atom": 0.563,
  "energy_ev_per_cell": -14.2
}

***

[10]
{
  "formula": "AgHg2W",
  "functional": "GGA-PBE",
  "state": "optimized geometry",
  "cell": [[1.996, -2.077, 0.000], [1.996, 2.077, 0.000], [0.000, 0.000, 9.052]],
  "species": ["Ag", "Hg", "Hg", "W"],
  "frac_coords": [[0.000, 0.000, 0.000], [0.500, 0.500, 0.253], [0.500, 0.500, 0.747], [0.000, 0.000, 0.500]],
  "formation_energy_ev_per_atom": 0.549,
  "energy_ev_per_cell": -14.2
}

***

[11]
{
  "formula": "AgHg2W",
  "functional": "GGA-PBE",
  "state": "optimized geometry",
  "cell": [[-2.082, 2.082, 4.434], [2.082, -2.082, 4.434], [2.082, 2.082, -4.434]],
  "species": ["Ag", "Hg", "Hg", "W"],
  "frac_coords": [[0.000, 0.000, 0.000], [0.250, 0.750, 0.500], [0.500, 0.500, 0.000], [0.750, 0.250, 0.500]],
  "formation_energy_ev_per_atom": 0.930,
  "energy_ev_per_cell": -12.7
}

***

[12]
{
  "formula": "AgHg2W",
  "functional": "GGA-PBE",
  "state": "optimized geometry",
  "cell": [[-1.414, 2.583, 5.407], [1.414, -2.583, 5.407], [1.414, 2.583, -5.407]],
  "species": ["Ag", "Hg", "Hg", "W"],
  "frac_coords": [[0.000, 0.000, 0.000], [0.262, 0.762, 0.500], [0.534, 0.534, 0.000], [0.770, 0.270, 0.500]],
  "formation_energy_ev_per_atom": 0.708,
  "energy_ev_per_cell": -13.6
}

***

[13]
{
  "formula": "AgHg2W",
  "functional": "GGA-PBE",
  "state": "optimized geometry",
  "cell": [[1.494, 0.863, 9.780], [-1.494, 0.863, 9.780], [0.000, -1.725, 9.780]],
  "species": ["Ag", "Hg", "Hg", "W"],
  "frac_coords": [[0.000, 0.000, 0.000], [0.249, 0.249, 0.249], [0.751, 0.751, 0.751], [0.500, 0.500, 0.500]],
  "formation_energy_ev_per_atom": 0.533,
  "energy_ev_per_cell": -14.3
}

***

[14]
{
  "formula": "AgHgW4",
  "functional": "GGA-PBE",
  "state": "optimized geometry",
  "cell": [[0.000, 3.790, 3.790], [3.790, 0.000, 3.790], [3.790, 3.790, 0.000]],
  "species": ["Ag", "Hg", "W", "W", "W", "W"],
  "frac_coords": [[0.000, 0.000, 0.000], [0.750, 0.750, 0.750], [0.375, 0.375, 0.375], [0.375, 0.375, 0.876], [0.375, 0.876, 0.375], [0.876, 0.375, 0.375]],
  "formation_energy_ev_per_atom": 0.849,
  "energy_ev_per_cell": -49.9
}

***

[15]
{
  "formula": "AgHg2W",
  "functional": "GGA-PBE",
  "state": "optimized geometry",
  "cell": [[4.351, 0.000, 0.000], [0.000, 4.351, 0.000], [0.000, 0.000, 3.986]],
  "species": ["Ag", "Hg", "Hg", "W"],
  "frac_coords": [[0.000, 0.000, 0.000], [0.000, 0.500, 0.500], [0.500, 0.000, 0.500], [0.500, 0.500, 0.000]],
  "formation_energy_ev_per_atom": 0.769,
  "energy_ev_per_cell": -13.3
}

***

[16]
{
  "formula": "Ag3HgW",
  "functional": "GGA-PBE",
  "state": "optimized geometry",
  "cell": [[5.154, 0.000, 0.000], [0.000, 5.154, 0.000], [0.000, 0.000, 5.154]],
  "species": ["Ag", "Ag", "Ag", "Hg", "W"],
  "frac_coords": [[0.000, 0.000, 0.500], [0.000, 0.500, 0.000], [0.500, 0.000, 0.000], [0.500, 0.500, 0.500], [0.000, 0.000, 0.000]],
  "formation_energy_ev_per_atom": 1.611,
  "energy_ev_per_cell": -13.8
}

***

[17]
{
  "formula": "AgHg2W",
  "functional": "GGA-PBE",
  "state": "optimized geometry",
  "cell": [[3.098, -4.320, 0.000], [3.098, 4.320, 0.000], [0.000, 0.000, 2.827]],
  "species": ["Ag", "Hg", "Hg", "W"],
  "frac_coords": [[0.000, 0.000, 0.000], [0.000, 0.500, 0.500], [0.500, 0.000, 0.500], [0.500, 0.500, 0.000]],
  "formation_energy_ev_per_atom": 0.622,
  "energy_ev_per_cell": -13.9
}

***

[18]
{
  "formula": "AgHg2W",
  "functional": "GGA-PBE",
  "state": "optimized geometry",
  "cell": [[2.858, 0.000, 0.000], [0.000, 5.095, 0.000], [0.000, 0.000, 5.418]],
  "species": ["Ag", "Hg", "Hg", "W"],
  "frac_coords": [[0.000, 0.000, 0.000], [0.000, 0.500, 0.500], [0.500, 0.500, 0.000], [0.500, 0.000, 0.500]],
  "formation_energy_ev_per_atom": 0.810,
  "energy_ev_per_cell": -13.2
}

***

[19]
{
  "formula": "AgHg2W",
  "functional": "GGA-PBE",
  "state": "optimized geometry",
  "cell": [[0.000, 3.383, 3.383], [3.383, 0.000, 3.383], [3.383, 3.383, 0.000]],
  "species": ["Ag", "Hg", "Hg", "W"],
  "frac_coords": [[0.000, 0.000, 0.000], [0.250, 0.250, 0.250], [0.750, 0.750, 0.750], [0.500, 0.500, 0.500]],
  "formation_energy_ev_per_atom": 0.894,
  "energy_ev_per_cell": -12.8
}

***

[20]
{
  "formula": "AgHg2W",
  "functional": "GGA-PBE",
  "state": "optimized geometry",
  "cell": [[2.843, 0.000, 0.000], [0.000, 4.343, 0.000], [0.000, 0.000, 6.182]],
  "species": ["Ag", "Hg", "Hg", "W"],
  "frac_coords": [[0.000, 0.000, 0.000], [0.500, 0.500, 0.258], [0.500, 0.500, 0.742], [0.000, 0.000, 0.500]],
  "formation_energy_ev_per_atom": 0.712,
  "energy_ev_per_cell": -13.6
}

***

[21]
{
  "formula": "AgHg2W",
  "functional": "GGA-PBE",
  "state": "optimized geometry",
  "cell": [[2.851, 0.000, 0.000], [0.000, 5.052, 0.000], [0.000, 0.000, 5.284]],
  "species": ["Ag", "Hg", "Hg", "W"],
  "frac_coords": [[0.000, 0.000, 0.000], [0.500, 0.000, 0.476], [0.500, 0.500, 0.869], [0.000, 0.500, 0.366]],
  "formation_energy_ev_per_atom": 0.663,
  "energy_ev_per_cell": -13.8
}

***

[22]
{
  "formula": "AgHg2W",
  "functional": "GGA-PBE",
  "state": "optimized geometry",
  "cell": [[-1.434, 2.703, 5.053], [1.434, -2.703, 5.053], [1.434, 2.703, -5.053]],
  "species": ["Ag", "Hg", "Hg", "W"],
  "frac_coords": [[0.000, 0.000, 0.000], [0.251, 0.751, 0.500], [0.749, 0.249, 0.500], [0.500, 0.500, 0.000]],
  "formation_energy_ev_per_atom": 0.792,
  "energy_ev_per_cell": -13.2
}

***

[23]
{
  "formula": "AgHg2W",
  "functional": "GGA-PBE",
  "state": "optimized geometry",
  "cell": [[1.478, 0.853, 10.286], [-1.478, 0.853, 10.286], [0.000, -1.706, 10.286]],
  "species": ["Ag", "Hg", "Hg", "W"],
  "frac_coords": [[0.000, 0.000, 0.000], [0.511, 0.511, 0.511], [0.749, 0.749, 0.749], [0.258, 0.258, 0.258]],
  "formation_energy_ev_per_atom": 0.554,
  "energy_ev_per_cell": -14.2
}

***

[24]
{
  "formula": "AgHg2W2",
  "functional": "GGA-PBE",
  "state": "optimized geometry",
  "cell": [[-1.989, 1.989, 6.570], [1.989, -1.989, 6.570], [1.989, 1.989, -6.570]],
  "species": ["Ag", "Hg", "Hg", "W", "W"],
  "frac_coords": [[0.000, 0.000, 0.000], [0.250, 0.750, 0.500], [0.750, 0.250, 0.500], [0.413, 0.413, 0.000], [0.587, 0.587, 0.000]],
  "formation_energy_ev_per_atom": 1.219,
  "energy_ev_per_cell": -23.3
}

***

[25]
{
  "formula": "Ag3HgW",
  "functional": "GGA-PBE",
  "state": "optimized geometry",
  "cell": [[5.128, 0.000, 0.000], [0.000, 5.128, 0.000], [0.000, 0.000, 5.128]],
  "species": ["Ag", "Ag", "Ag", "Hg", "W"],
  "frac_coords": [[0.000, 0.000, 0.500], [0.000, 0.500, 0.000], [0.500, 0.000, 0.000], [0.000, 0.000, 0.000], [0.500, 0.500, 0.500]],
  "formation_energy_ev_per_atom": 1.730,
  "energy_ev_per_cell": -13.2
}

***

[26]
{
  "formula": "Y2Ag2Hg3",
  "functional": "GGA-PBE",
  "state": "optimized geometry",
  "cell": [[5.113, -2.325, 0.000], [5.113, 2.325, 0.000], [-1.973, 0.000, 6.854]],
  "species": ["Y", "Y", "Ag", "Ag", "Hg", "Hg", "Hg"],
  "frac_coords": [[0.123, 0.123, 0.254], [0.877, 0.877, 0.746], [0.387, 0.387, 0.073], [0.613, 0.613, 0.927], [0.178, 0.178, 0.708], [0.500, 0.500, 0.500], [0.822, 0.822, 0.292]],
  "formation_energy_ev_per_atom": -0.308,
  "energy_ev_per_cell": -21.7
}

***

[27]
{
  "formula": "Y2AgHg6",
  "functional": "GGA-PBE",
  "state": "optimized geometry",
  "cell": [[9.359, 0.000, 0.000], [0.000, 9.359, 0.000], [0.000, 0.000, 4.826]],
  "species": ["Y", "Y", "Y", "Y", "Ag", "Ag", "Hg", "Hg", "Hg", "Hg", "Hg", "Hg", "Hg", "Hg", "Hg", "Hg", "Hg", "Hg"],
  "frac_coords": [[0.191, 0.191, 0.000], [0.309, 0.691, 0.500], [0.691, 0.309, 0.500], [0.809, 0.809, 0.000], [0.000, 0.000, 0.500], [0.500, 0.500, 0.000], [0.027, 0.334, 0.500], [0.142, 0.858, 0.000], [0.166, 0.527, 0.000], [0.334, 0.027, 0.500], [0.358, 0.358, 0.500], [0.473, 0.834, 0.000], [0.527, 0.166, 0.000], [0.642, 0.642, 0.500], [0.666, 0.973, 0.500], [0.834, 0.473, 0.000], [0.858, 0.142, 0.000], [0.973, 0.666, 0.500]],
  "formation_energy_ev_per_atom": -0.272,
  "energy_ev_per_cell": -40.1
}

***

[28]
{
  "formula": "Y2AgHg2",
  "functional": "GGA-PBE",
  "state": "optimized geometry",
  "cell": [[7.821, 0.000, 0.000], [0.000, 7.821, 0.000], [0.000, 0.000, 4.132]],
  "species": ["Y", "Y", "Y", "Y", "Ag", "Ag", "Hg", "Hg", "Hg", "Hg"],
  "frac_coords": [[0.166, 0.334, 0.000], [0.334, 0.834, 0.000], [0.666, 0.166, 0.000], [0.834, 0.666, 0.000], [0.000, 0.000, 0.500], [0.500, 0.500, 0.500], [0.136, 0.636, 0.500], [0.364, 0.136, 0.500], [0.636, 0.864, 0.500], [0.864, 0.364, 0.500]],
  "formation_energy_ev_per_atom": -0.364,
  "energy_ev_per_cell": -36.4
}